Record 1
VASP calculation (PBE-GGA) on a geometry-optimized LiCuAu structure.

Geometry as POSCAR:
```
LiCuAu
1.0
0.000 2.967 2.967
2.967 0.000 2.967
2.967 2.967 0.000
Li Cu Au
1 1 1
direct
0.000 0.000 0.000 Li
0.750 0.750 0.750 Cu
0.500 0.500 0.500 Au
```

## Properties
* total DFT energy (no corrections): -9.5 eV per cell
* crystal system: cubic
* symmetry: F-43m, No. 216
* energy of formation from the pure elements: -77 meV per atom
* polymorph energy (0 for the lowest one): 180 meV per atom
* DOS(E_F): 0.830 states/eV/cell

***

Record 2
VASP calculation (PBE-GGA) on a geometry-optimized CaPdSe2O6 structure.

Geometry as POSCAR:
```
CaPdSe2O6
1.0
2.746 1.585 5.480
-2.746 1.585 5.480
0.000 -3.171 5.480
Ca Pd Se O
1 1 2 6
direct
0.000 0.000 0.000 Ca
0.500 0.500 0.500 Pd
0.284 0.284 0.284 Se
0.716 0.716 0.716 Se
0.051 0.460 0.756 O
0.244 0.949 0.540 O
0.460 0.756 0.051 O
0.540 0.244 0.949 O
0.756 0.051 0.460 O
0.949 0.540 0.244 O
```

## Properties
* total DFT energy (no corrections): -54.1 eV per cell
* crystal system: trigonal
* symmetry: R-3, No. 148
* formation energy without anion corrections: -1.0222 eV per atom
* DOS(E_F): 0.973 states/eV/cell

***

Question: The lowest DOS(E_F) belongs to which entry?
Answer: LiCuAu

***

Question: Among the records above, which one has the highest total DFT energy (no corrections)?
Answer: LiCuAu